First-principles (PBE) data for an optimized crystal structure of BeAsSe2, as listed in Alexandria via LeMat-Bulk.

Cell: 3.914 3.914 6.676 Å, 72.16 72.16 52.41°
Fractional positions:
1 Be 0.250 0.250 0.250
2 As 0.750 0.750 0.750
3 Se 0.940 0.940 0.040
4 Se 0.560 0.560 0.460

Properties
Its space group is No. 12. The value obtained for the formation energy without anion corrections is 0.006 eV/atom. For the total magnetization, the calculation gives 0.0000 μB/atom. For the relative energy among the computed polymorphs, the calculation gives 0.1224 eV per atom.